[1]
A PBEsol-optimized structure of SiAgAs2, computed with SCAN.

Geometry as CIF:
```
data_SiAgAs2
_chemical_formula_sum 'Si1 Ag1 As2'
_space_group_name_H-M_alt 'P 1'
_space_group_IT_number 1
_space_group_name_Hall 'P 1'
_cell_length_a 3.4903
_cell_length_b 4.0697
_cell_length_c 5.8341
_cell_angle_alpha 110.41
_cell_angle_beta 107.41
_cell_angle_gamma 90.00
loop_
_atom_site_label
_atom_site_fract_x
_atom_site_fract_y
_atom_site_fract_z
As1 0.3214 0.3214 0.6429
Si1 0.0000 0.5000 0.0000
As2 0.6786 0.6786 0.3571
Ag1 0.5000 0.0000 0.0000
```

Computed properties:
DOS at the Fermi energy: 1.69 states/eV/f.u.
DFT total energy: -20.1024 eV/atom

[2]
A PBEsol-optimized structure of RuRhAu2, computed with SCAN.

Geometry as CIF:
```
data_RuRhAu2
_chemical_formula_sum 'Ru1 Rh1 Au2'
_space_group_name_H-M_alt 'P 1'
_space_group_IT_number 1
_space_group_name_Hall 'P 1'
_cell_length_a 4.4337
_cell_length_b 4.4337
_cell_length_c 4.4337
_cell_angle_alpha 60.00
_cell_angle_beta 60.00
_cell_angle_gamma 60.00
loop_
_atom_site_label
_atom_site_fract_x
_atom_site_fract_y
_atom_site_fract_z
Rh1 0.5000 0.5000 0.5000
Au1 0.0000 0.0000 0.0000
Ru1 0.7500 0.7500 0.7500
Au2 0.2500 0.2500 0.2500
```

Computed properties:
DOS at the Fermi energy: 3.78 states/eV/f.u.
ΔE_f: 391 meV per atom

[3]
A PBEsol-optimized structure of TcGeAs2Se, computed with SCAN.

Geometry as CIF:
```
data_TcGeAs2Se
_chemical_formula_sum 'Tc1 Ge1 As2 Se1'
_space_group_name_H-M_alt 'P 1'
_space_group_IT_number 1
_space_group_name_Hall 'P 1'
_cell_length_a 4.6160
_cell_length_b 4.6160
_cell_length_c 5.2390
_cell_angle_alpha 90.00
_cell_angle_beta 90.00
_cell_angle_gamma 90.00
loop_
_atom_site_label
_atom_site_fract_x
_atom_site_fract_y
_atom_site_fract_z
As1 0.0000 0.5000 0.0000
Ge1 0.5000 0.5000 0.5000
As2 0.5000 0.0000 0.0000
Se1 0.0000 0.0000 0.5000
Tc1 0.0000 0.0000 0.0000
```

Computed properties:
DOS at the Fermi energy: 4.27 states/eV/f.u.
DFT total energy: -22.3407 eV/atom

[4]
A PBEsol-optimized structure of CaZrIr2, computed with SCAN.

Geometry as CIF:
```
data_CaZrIr2
_chemical_formula_sum 'Ca1 Zr1 Ir2'
_space_group_name_H-M_alt 'P 1'
_space_group_IT_number 1
_space_group_name_Hall 'P 1'
_cell_length_a 4.6007
_cell_length_b 4.6007
_cell_length_c 4.6007
_cell_angle_alpha 60.00
_cell_angle_beta 60.00
_cell_angle_gamma 60.00
loop_
_atom_site_label
_atom_site_fract_x
_atom_site_fract_y
_atom_site_fract_z
Ir1 0.0000 0.0000 0.0000
Ca1 0.5000 0.5000 0.5000
Zr1 0.2500 0.2500 0.2500
Ir2 0.7500 0.7500 0.7500
```

Computed properties:
DOS at the Fermi energy: 5.18 states/eV/f.u.
ΔE_f: -144 meV per atom

[5]
A PBEsol-optimized structure of AgPbBrN2, computed with SCAN.

Geometry as CIF:
```
data_AgPbBrN2
_chemical_formula_sum 'Ag1 Pb1 Br1 N2'
_space_group_name_H-M_alt 'P 1'
_space_group_IT_number 1
_space_group_name_Hall 'P 1'
_cell_length_a 4.2303
_cell_length_b 4.2303
_cell_length_c 6.2750
_cell_angle_alpha 90.00
_cell_angle_beta 90.00
_cell_angle_gamma 90.00
loop_
_atom_site_label
_atom_site_fract_x
_atom_site_fract_y
_atom_site_fract_z
Pb1 0.0000 0.0000 0.0000
N1 0.0000 0.5000 0.0000
Br1 0.5000 0.5000 0.5000
N2 0.5000 0.0000 0.0000
Ag1 0.0000 0.0000 0.5000
```

Computed properties:
DOS at the Fermi energy: 1.07 states/eV/f.u.
DFT total energy: -27.5272 eV/atom

[6]
A PBEsol-optimized structure of Ni2SbP, computed with SCAN.

Geometry as CIF:
```
data_Ni2SbP
_chemical_formula_sum 'Ni2 Sb1 P1'
_space_group_name_H-M_alt 'P 1'
_space_group_IT_number 1
_space_group_name_Hall 'P 1'
_cell_length_a 2.9442
_cell_length_b 2.9442
_cell_length_c 6.5465
_cell_angle_alpha 90.00
_cell_angle_beta 90.00
_cell_angle_gamma 90.00
loop_
_atom_site_label
_atom_site_fract_x
_atom_site_fract_y
_atom_site_fract_z
P1 0.5000 0.5000 0.0000
Ni1 0.0000 0.0000 0.1884
Sb1 0.5000 0.5000 0.5000
Ni2 0.0000 0.0000 0.8116
```

Computed properties:
DOS at the Fermi energy: 2.33 states/eV/f.u.
E above lowest polymorph: 159 meV/atom

[7]
A PBEsol-optimized structure of InNiTe, computed with SCAN.

Geometry as CIF:
```
data_InNiTe
_chemical_formula_sum 'In1 Ni1 Te1'
_space_group_name_H-M_alt 'P 1'
_space_group_IT_number 1
_space_group_name_Hall 'P 1'
_cell_length_a 4.4542
_cell_length_b 4.4542
_cell_length_c 4.4542
_cell_angle_alpha 60.00
_cell_angle_beta 60.00
_cell_angle_gamma 60.00
loop_
_atom_site_label
_atom_site_fract_x
_atom_site_fract_y
_atom_site_fract_z
Ni1 0.2500 0.2500 0.2500
In1 0.5000 0.5000 0.5000
Te1 0.0000 0.0000 0.0000
```

Computed properties:
DOS at the Fermi energy: 2.02 states/eV/f.u.
E above lowest polymorph: 28 meV/atom

[8]
A PBEsol-optimized structure of Ca2Mg2Cu3, computed with SCAN.

Geometry as CIF:
```
data_Ca2Mg2Cu3
_chemical_formula_sum 'Ca4 Mg4 Cu6'
_space_group_name_H-M_alt 'P 1'
_space_group_IT_number 1
_space_group_name_Hall 'P 1'
_cell_length_a 4.2758
_cell_length_b 8.0100
_cell_length_c 9.1693
_cell_angle_alpha 85.94
_cell_angle_beta 76.52
_cell_angle_gamma 74.52
loop_
_atom_site_label
_atom_site_fract_x
_atom_site_fract_y
_atom_site_fract_z
Mg1 0.6706 0.9450 0.7138
Cu1 0.9287 0.0116 0.1310
Ca1 0.6878 0.3767 0.2476
Mg2 0.5887 0.7887 0.0339
Mg3 0.4113 0.2113 0.9661
Ca2 0.3122 0.6233 0.7524
Cu2 0.8059 0.4524 0.9357
Ca3 0.0494 0.2712 0.6301
Ca4 0.9506 0.7288 0.3699
Cu3 0.7390 0.0753 0.4467
Mg4 0.3294 0.0550 0.2862
Cu4 0.1941 0.5476 0.0643
Cu5 0.0713 0.9884 0.8690
Cu6 0.2610 0.9247 0.5533
```

Computed properties:
DOS at the Fermi energy: 3.36 states/eV/f.u.
ΔE_f: -97 meV per atom

[9]
A PBEsol-optimized structure of CaPW2, computed with SCAN.

Geometry as CIF:
```
data_CaPW2
_chemical_formula_sum 'Ca1 P1 W2'
_space_group_name_H-M_alt 'P 1'
_space_group_IT_number 1
_space_group_name_Hall 'P 1'
_cell_length_a 3.2082
_cell_length_b 4.1488
_cell_length_c 5.9825
_cell_angle_alpha 90.00
_cell_angle_beta 105.40
_cell_angle_gamma 90.00
loop_
_atom_site_label
_atom_site_fract_x
_atom_site_fract_y
_atom_site_fract_z
P1 0.0814 0.5000 0.7867
Ca1 0.4717 0.0000 0.5649
W1 0.7385 0.5000 0.1043
W2 0.2084 0.0000 0.0441
```

Computed properties:
DOS at the Fermi energy: 1.88 states/eV/f.u.
E above lowest polymorph: 0 meV/atom
ΔE_f: 100 meV per atom

[10]
A PBEsol-optimized structure of AlSbP2, computed with SCAN.

Geometry as CIF:
```
data_AlSbP2
_chemical_formula_sum 'Al1 Sb1 P2'
_space_group_name_H-M_alt 'P 1'
_space_group_IT_number 1
_space_group_name_Hall 'P 1'
_cell_length_a 3.8741
_cell_length_b 3.9991
_cell_length_c 6.2041
_cell_angle_alpha 105.96
_cell_angle_beta 90.00
_cell_angle_gamma 90.00
loop_
_atom_site_label
_atom_site_fract_x
_atom_site_fract_y
_atom_site_fract_z
P1 0.0000 0.1062 0.7889
Al1 0.5000 0.1251 0.0049
Sb1 0.0000 0.5511 0.4717
P2 0.5000 0.7176 0.2345
```

Computed properties:
DOS at the Fermi energy: 0.92 states/eV/f.u.
E above lowest polymorph: 0 meV/atom

[11]
A PBEsol-optimized structure of CaSc2PdO, computed with SCAN.

Geometry as CIF:
```
data_CaSc2PdO
_chemical_formula_sum 'Ca1 Sc2 Pd1 O1'
_space_group_name_H-M_alt 'P 1'
_space_group_IT_number 1
_space_group_name_Hall 'P 1'
_cell_length_a 4.2676
_cell_length_b 4.2676
_cell_length_c 4.7801
_cell_angle_alpha 90.00
_cell_angle_beta 90.00
_cell_angle_gamma 90.00
loop_
_atom_site_label
_atom_site_fract_x
_atom_site_fract_y
_atom_site_fract_z
O1 0.0000 0.0000 0.0000
Ca1 0.0000 0.0000 0.5000
Pd1 0.5000 0.5000 0.5000
Sc1 0.0000 0.5000 0.0000
Sc2 0.5000 0.0000 0.0000
```

Computed properties:
DOS at the Fermi energy: 3.89 states/eV/f.u.
DFT total energy: -16.9929 eV/atom

[12]
A PBEsol-optimized structure of HgIr2Br, computed with SCAN.

Geometry as CIF:
```
data_HgIr2Br
_chemical_formula_sum 'Hg1 Ir2 Br1'
_space_group_name_H-M_alt 'P 1'
_space_group_IT_number 1
_space_group_name_Hall 'P 1'
_cell_length_a 2.9663
_cell_length_b 2.9663
_cell_length_c 7.5039
_cell_angle_alpha 90.00
_cell_angle_beta 90.00
_cell_angle_gamma 90.00
loop_
_atom_site_label
_atom_site_fract_x
_atom_site_fract_y
_atom_site_fract_z
Ir1 0.0000 0.0000 0.7665
Br1 0.5000 0.5000 0.0000
Hg1 0.5000 0.5000 0.5000
Ir2 0.0000 0.0000 0.2335
```

Computed properties:
DOS at the Fermi energy: 2.24 states/eV/f.u.
DFT total energy: -56.2587 eV/atom